Entry 1:
Crystalline Ta2SiHg at its relaxed geometry. Source: Alexandria, functional GGA-PBE.

Values from the calculation:
The raw formation energy is 283.2 meV/atom.

Cell lengths 2.8377, 2.8377, 9.2370 Å; angles 90.00, 90.00, 90.00 degrees
Element x y z (fractional)
1 Ta 0.0000 0.0000 0.0000
2 Ta 0.5000 0.5000 0.2543
3 Si 0.5000 0.5000 0.7922
4 Hg 0.0000 0.0000 0.5091


Entry 2:
Crystalline Pm2Cu4Si3Hg at its relaxed geometry. Source: Alexandria, functional GGA-PBE.

Values from the calculation:
The raw formation energy is -429.8 meV/atom.

Cell lengths 4.1303, 4.1303, 10.2750 Å; angles 90.00, 90.00, 90.00 degrees
Element x y z (fractional)
1 Pm 0.0000 0.5000 0.2345
2 Pm 0.5000 0.0000 0.7655
3 Cu 0.0000 0.0000 0.0000
4 Cu 0.0000 0.5000 0.6502
5 Cu 0.5000 0.0000 0.3498
6 Cu 0.5000 0.5000 0.0000
7 Si 0.0000 0.5000 0.8753
8 Si 0.5000 0.0000 0.1247
9 Si 0.5000 0.5000 0.5000
10 Hg 0.0000 0.0000 0.5000


Entry 3:
Crystalline Hf6Zr2In at its relaxed geometry. Source: Alexandria, functional GGA-PBE.

Values from the calculation:
As for the formation energy: 0.054 eV per atom.

Cell lengths 8.6757, 8.6757, 3.0795 Å; angles 90.00, 90.00, 120.04 degrees
Element x y z (fractional)
1 Hf 0.1654 0.4997 0.0000
2 Hf 0.1666 0.1666 0.0000
3 Hf 0.4997 0.1654 0.0000
4 Hf 0.5003 0.8346 0.0000
5 Hf 0.8334 0.8334 0.0000
6 Hf 0.8346 0.5003 0.0000
7 Zr 0.1662 0.8338 0.5000
8 Zr 0.8338 0.1662 0.5000
9 In 0.5000 0.5000 0.5000


Entry 4:
Crystalline SrLiSi at its relaxed geometry. Source: Alexandria, functional GGA-PBE.

Values from the calculation:
The raw formation energy is -308.3 meV/atom.

Cell lengths 5.9637, 5.9637, 5.9637 Å; angles 132.69, 104.74, 93.87 degrees
Element x y z (fractional)
1 Sr 0.0000 0.0000 0.0000
2 Sr 0.5755 0.0755 0.5000
3 Li 0.4100 0.7009 0.7092
4 Li 0.9917 0.7009 0.2908
5 Si 0.1861 0.3659 0.8202
6 Si 0.5457 0.3659 0.1798


Entry 5:
Crystalline Sr2BeCu at its relaxed geometry. Source: Alexandria, functional GGA-PBE.

Values from the calculation:
As for the formation energy: 0.193 eV per atom.

Cell lengths 7.8579, 7.8579, 7.8579 Å; angles 149.80, 148.29, 44.36 degrees
Element x y z (fractional)
1 Sr 0.0000 0.0000 0.0000
2 Sr 0.7515 0.2515 0.5000
3 Be 0.4064 0.4064 0.0000
4 Cu 0.3463 0.8463 0.5000


Entry 6:
Crystalline BaTm2F8 at its relaxed geometry. Source: Alexandria, functional GGA-PBE.

Values from the calculation:
The raw formation energy is -4124.4 meV/atom.

Cell lengths 6.2971, 6.2971, 4.2677 Å; angles 94.93, 94.93, 112.95 degrees
Element x y z (fractional)
1 Ba 0.0000 0.0000 0.0000
2 Tm 0.3245 0.6755 0.5000
3 Tm 0.6755 0.3245 0.5000
4 F 0.0455 0.3292 0.5607
5 F 0.2634 0.7366 0.0000
6 F 0.3292 0.0455 0.5607
7 F 0.3949 0.3949 0.2297
8 F 0.6051 0.6051 0.7703
9 F 0.6708 0.9545 0.4393
10 F 0.7366 0.2634 0.0000
11 F 0.9545 0.6708 0.4393


Entry 7:
Crystalline LiFePt2S at its relaxed geometry. Source: Alexandria, functional GGA-PBE.

Values from the calculation:
The raw formation energy is 319.2 meV/atom.

Cell lengths 4.7327, 4.7327, 4.2073 Å; angles 90.00, 90.00, 90.00 degrees
Element x y z (fractional)
1 Li 0.0000 0.0000 0.0000
2 Fe 0.5000 0.5000 0.5000
3 Pt 0.0000 0.5000 0.5000
4 Pt 0.5000 0.0000 0.5000
5 S 0.5000 0.5000 0.0000


Entry 8:
Crystalline NdZr2Al at its relaxed geometry. Source: Alexandria, functional GGA-PBE.

Values from the calculation:
As for the formation energy: -0.117 eV per atom.

Cell lengths 4.5689, 4.5689, 4.4877 Å; angles 90.00, 90.00, 90.00 degrees
Element x y z (fractional)
1 Nd 0.0000 0.0000 0.0000
2 Zr 0.0000 0.5000 0.5000
3 Zr 0.5000 0.0000 0.5000
4 Al 0.5000 0.5000 0.0000


Entry 9:
Crystalline SrTbTh at its relaxed geometry. Source: Alexandria, functional GGA-PBE.

Values from the calculation:
As for the formation energy: 0.192 eV per atom.

Cell lengths 3.7058, 3.7058, 9.3480 Å; angles 90.00, 90.00, 120.00 degrees
Element x y z (fractional)
1 Sr 0.0000 0.0000 0.0000
2 Tb 0.3333 0.6667 0.6408
3 Th 0.6667 0.3333 0.3472


Entry 10:
Crystalline UBeAu at its relaxed geometry. Source: Alexandria, functional GGA-PBE.

Values from the calculation:
As for the formation energy: -0.012 eV per atom.

Cell lengths 2.8954, 2.8954, 11.3639 Å; angles 90.00, 90.00, 90.00 degrees
Element x y z (fractional)
1 U 0.2500 0.2500 0.1090
2 U 0.7500 0.7500 0.8910
3 Be 0.2500 0.2500 0.4480
4 Be 0.7500 0.7500 0.5520
5 Au 0.2500 0.2500 0.6687
6 Au 0.7500 0.7500 0.3313


Entry 11:
Crystalline CsPrAu2 at its relaxed geometry. Source: Alexandria, functional GGA-PBE.

Values from the calculation:
As for the formation energy: -0.513 eV per atom.

Cell lengths 3.9236, 3.9236, 8.6019 Å; angles 90.00, 90.00, 90.00 degrees
Element x y z (fractional)
1 Cs 0.0000 0.0000 0.0000
2 Pr 0.0000 0.0000 0.5000
3 Au 0.5000 0.5000 0.3253
4 Au 0.5000 0.5000 0.6747


Entry 12:
Crystalline YSb2IrI at its relaxed geometry. Source: Alexandria, functional GGA-PBE.

Values from the calculation:
The raw formation energy is 167.5 meV/atom.

Cell lengths 5.1749, 5.1749, 5.5333 Å; angles 90.00, 90.00, 90.00 degrees
Element x y z (fractional)
1 Y 0.0000 0.0000 0.0000
2 Sb 0.0000 0.5000 0.5000
3 Sb 0.5000 0.0000 0.5000
4 Ir 0.5000 0.5000 0.5000
5 I 0.5000 0.5000 0.0000


Entry 13:
Crystalline Co2RuPtRh at its relaxed geometry. Source: Alexandria, functional GGA-PBE.

Values from the calculation:
As for the formation energy: 1.680 eV per atom.

Cell lengths 4.5195, 4.5195, 4.7456 Å; angles 90.00, 90.00, 90.00 degrees
Element x y z (fractional)
1 Co 0.0000 0.5000 0.0000
2 Co 0.5000 0.0000 0.0000
3 Ru 0.0000 0.0000 0.5000
4 Pt 0.0000 0.0000 0.0000
5 Rh 0.5000 0.5000 0.5000


Entry 14:
Crystalline PmPuBi2 at its relaxed geometry. Source: Alexandria, functional GGA-PBE.

Values from the calculation:
As for the formation energy: -0.507 eV per atom.

Cell lengths 3.7575, 3.7575, 8.4750 Å; angles 90.00, 90.00, 90.00 degrees
Element x y z (fractional)
1 Pm 0.0000 0.0000 0.0000
2 Pu 0.0000 0.0000 0.5000
3 Bi 0.5000 0.5000 0.2514
4 Bi 0.5000 0.5000 0.7486


Entry 15:
Crystalline CaTb2Pr6Sm3 at its relaxed geometry. Source: Alexandria, functional GGA-PBE.

Values from the calculation:
As for the formation energy: 0.029 eV per atom.

Cell lengths 6.3937, 6.3937, 12.0835 Å; angles 95.04, 95.04, 120.03 degrees
Element x y z (fractional)
1 Ca 0.0000 0.0000 0.0000
2 Tb 0.3332 0.6668 0.0000
3 Tb 0.6668 0.3332 0.0000
4 Pr 0.0844 0.4249 0.2508
5 Pr 0.2559 0.2559 0.7485
6 Pr 0.4249 0.0844 0.2508
7 Pr 0.5751 0.9156 0.7492
8 Pr 0.7441 0.7441 0.2515
9 Pr 0.9156 0.5751 0.7492
10 Sm 0.1665 0.8335 0.5000
11 Sm 0.5000 0.5000 0.5000
12 Sm 0.8335 0.1665 0.5000


Entry 16:
Crystalline AlTl3Mo at its relaxed geometry. Source: Alexandria, functional GGA-PBE.

Values from the calculation:
As for the formation energy: 1.125 eV per atom.

Cell lengths 5.3464, 5.3464, 5.3464 Å; angles 90.00, 90.00, 90.00 degrees
Element x y z (fractional)
1 Al 0.0000 0.0000 0.0000
2 Tl 0.0000 0.0000 0.5000
3 Tl 0.0000 0.5000 0.0000
4 Tl 0.5000 0.0000 0.0000
5 Mo 0.5000 0.5000 0.5000


Entry 17:
Crystalline YCuPb at its relaxed geometry. Source: Alexandria, functional GGA-PBE.

Values from the calculation:
As for the formation energy: -0.164 eV per atom.

Cell lengths 6.3679, 6.3679, 6.3679 Å; angles 148.41, 148.41, 45.27 degrees
Element x y z (fractional)
1 Y 0.0000 0.0000 0.0000
2 Cu 0.6395 0.6395 0.0000
3 Pb 0.2902 0.2902 0.0000


Entry 18:
Crystalline NaCoOs at its relaxed geometry. Source: Alexandria, functional GGA-PBE.

Values from the calculation:
As for the formation energy: 0.567 eV per atom.

Cell lengths 5.9363, 5.9363, 4.7013 Å; angles 90.60, 90.60, 41.87 degrees
Element x y z (fractional)
1 Na 0.0000 0.0000 0.0000
2 Na 0.5314 0.5314 0.4932
3 Co 0.2294 0.2294 0.6982
4 Co 0.7315 0.7315 0.9433
5 Os 0.2866 0.2866 0.1923
6 Os 0.8030 0.8030 0.4632


Entry 19:
Crystalline CoIr2Au at its relaxed geometry. Source: Alexandria, functional GGA-PBE.

Values from the calculation:
As for the formation energy: 0.564 eV per atom.

Cell lengths 4.3837, 4.3837, 4.3837 Å; angles 60.00, 60.00, 60.00 degrees
Element x y z (fractional)
1 Co 0.0000 0.0000 0.0000
2 Ir 0.2500 0.2500 0.2500
3 Ir 0.7500 0.7500 0.7500
4 Au 0.5000 0.5000 0.5000


Entry 20:
Crystalline TbHo2Tm5Sc at its relaxed geometry. Source: Alexandria, functional GGA-PBE.

Values from the calculation:
As for the formation energy: 0.171 eV per atom.

Cell lengths 10.1623, 10.1623, 10.2671 Å; angles 90.00, 90.00, 148.73 degrees
Element x y z (fractional)
1 Tb 0.0887 0.9113 0.5000
2 Tb 0.9113 0.0887 0.0000
3 Ho 0.3864 0.6136 0.7808
4 Ho 0.3886 0.6114 0.3593
5 Ho 0.6114 0.3886 0.8593
6 Ho 0.6136 0.3864 0.2808
7 Tm 0.0192 0.9808 0.7838
8 Tm 0.1209 0.8791 0.0660
9 Tm 0.2004 0.7996 0.7506
10 Tm 0.2232 0.7768 0.3644
11 Tm 0.4819 0.5181 0.0648
12 Tm 0.5181 0.4819 0.5648
13 Tm 0.7768 0.2232 0.8644
14 Tm 0.7996 0.2004 0.2506
15 Tm 0.8791 0.1209 0.5660
16 Tm 0.9808 0.0192 0.2838
17 Sc 0.3035 0.6965 0.0590
18 Sc 0.6965 0.3035 0.5590


Entry 21:
Crystalline La6Pm2TmSc at its relaxed geometry. Source: Alexandria, functional GGA-PBE.

Values from the calculation:
As for the formation energy: 0.208 eV per atom.

Cell lengths 6.8065, 6.8065, 8.8264 Å; angles 103.02, 103.02, 62.60 degrees
Element x y z (fractional)
1 La 0.0868 0.5785 0.2066
2 La 0.1243 0.1243 0.3980
3 La 0.4215 0.9132 0.7934
4 La 0.5785 0.0868 0.2066
5 La 0.8757 0.8757 0.6020
6 La 0.9132 0.4215 0.7934
7 Pm 0.4055 0.4055 0.8297
8 Pm 0.5945 0.5945 0.1703
9 Tm 0.5000 0.5000 0.5000
10 Sc 0.0000 0.0000 0.0000


Entry 22:
Crystalline DyAl2Ag3 at its relaxed geometry. Source: Alexandria, functional GGA-PBE.

Values from the calculation:
As for the formation energy: -0.216 eV per atom.

Cell lengths 6.5102, 6.5102, 5.6604 Å; angles 90.00, 90.00, 81.28 degrees
Element x y z (fractional)
1 Dy 0.1438 0.8562 0.7500
2 Dy 0.8562 0.1438 0.2500
3 Al 0.2709 0.2709 0.0000
4 Al 0.2709 0.2709 0.5000
5 Al 0.7291 0.7291 0.0000
6 Al 0.7291 0.7291 0.5000
7 Ag 0.0645 0.6234 0.2500
8 Ag 0.3766 0.9355 0.2500
9 Ag 0.4958 0.5042 0.2500
10 Ag 0.5042 0.4958 0.7500
11 Ag 0.6234 0.0645 0.7500
12 Ag 0.9355 0.3766 0.7500


Entry 23:
Crystalline Pm2ScTl at its relaxed geometry. Source: Alexandria, functional GGA-PBE.

Values from the calculation:
As for the formation energy: -0.168 eV per atom.

Cell lengths 6.6742, 5.1596, 6.9717 Å; angles 90.00, 104.56, 90.00 degrees
Element x y z (fractional)
1 Pm 0.1552 0.2500 0.4120
2 Pm 0.1607 0.2500 0.9178
3 Pm 0.8393 0.7500 0.0822
4 Pm 0.8448 0.7500 0.5880
5 Sc 0.3833 0.7500 0.2216
6 Sc 0.6167 0.2500 0.7784
7 Tl 0.3737 0.7500 0.7155
8 Tl 0.6263 0.2500 0.2845


Entry 24:
Crystalline Pm2GeS5 at its relaxed geometry. Source: Alexandria, functional GGA-PBE.

Values from the calculation:
The raw formation energy is -1393.5 meV/atom.

Cell lengths 11.5699, 8.5018, 8.4953 Å; angles 90.00, 108.18, 90.00 degrees
Element x y z (fractional)
1 Pm 0.0362 0.1249 0.2320
2 Pm 0.0362 0.3751 0.7320
3 Pm 0.3728 0.1331 0.0455
4 Pm 0.3728 0.3669 0.5455
5 Pm 0.6272 0.6331 0.4545
6 Pm 0.6272 0.8669 0.9545
7 Pm 0.9638 0.6249 0.2680
8 Pm 0.9638 0.8751 0.7680
9 Ge 0.3056 0.5885 0.0276
10 Ge 0.3056 0.9115 0.5276
11 Ge 0.6944 0.0885 0.4724
12 Ge 0.6944 0.4115 0.9724
13 S 0.1073 0.6174 0.9972
14 S 0.1073 0.8826 0.4972
15 S 0.1125 0.1153 0.9401
16 S 0.1125 0.3847 0.4401
17 S 0.2935 0.0986 0.3301
18 S 0.2935 0.4014 0.8301
19 S 0.3746 0.6964 0.4441
20 S 0.3746 0.8036 0.9441
21 S 0.4238 0.0623 0.7341
22 S 0.4238 0.4377 0.2341
23 S 0.5762 0.5623 0.7659
24 S 0.5762 0.9377 0.2659
25 S 0.6254 0.1964 0.0559
26 S 0.6254 0.3036 0.5559
27 S 0.7065 0.5986 0.1699
28 S 0.7065 0.9014 0.6699
29 S 0.8875 0.6153 0.5599
30 S 0.8875 0.8847 0.0599
31 S 0.8927 0.1174 0.5028
32 S 0.8927 0.3826 0.0028


| no. | ρ (g/cm3) |
| --- | --- |
| 1 | 13.184 |
| 2 | 7.854 |
| 3 | 11.323 |
| 4 | 2.870 |
| 5 | 3.217 |
| 6 | 6.766 |
| 7 | 8.547 |
| 8 | 6.269 |
| 9 | 7.148 |
| 10 | 15.478 |
| 11 | 8.373 |
| 12 | 7.301 |
| 13 | 8.855 |
| 14 | 11.199 |
| 15 | 6.526 |
| 16 | 7.998 |
| 17 | 8.458 |
| 18 | 8.175 |
| 19 | 17.851 |
| 20 | 8.319 |
| 21 | 6.341 |
| 22 | 7.564 |
| 23 | 7.708 |
| 24 | 4.375 |